Here is crystalline LaP2S2 at its relaxed geometry from the Alexandria database. Energies are from PBE.

Results
Distance to the lowest polymorph of the same formula = 1.618 eV per atom
Uncorrected formation energy = 0.99 eV/atom

CIF file:
```
data_LaP2S2
_chemical_formula_sum 'La1 P2 S2'
_cell_length_a 5.7029
_cell_length_b 5.7029
_cell_length_c 5.4425
_cell_angle_alpha 90.00
_cell_angle_beta 90.00
_cell_angle_gamma 90.00
_symmetry_space_group_name_H-M 'P 4/m m m'
_symmetry_Int_Tables_number 123
_symmetry_space_group_name_Hall '-P 4 2'
loop_
_atom_site_label
_atom_site_fract_x
_atom_site_fract_y
_atom_site_fract_z
La1 0.0000 0.0000 0.0000
P1 0.0000 0.5000 0.0000
S1 0.0000 0.0000 0.5000
S2 0.5000 0.5000 0.5000
```


Here is crystalline Tm2CoC at its relaxed geometry from the Alexandria database. Energies are from PBE.

Results
Distance to the lowest polymorph of the same formula = 0.000 eV per atom

CIF file:
```
data_Tm2CoC
_chemical_formula_sum 'Tm4 Co2 C2'
_cell_length_a 3.4878
_cell_length_b 3.6206
_cell_length_c 12.4495
_cell_angle_alpha 90.00
_cell_angle_beta 90.00
_cell_angle_gamma 90.00
_symmetry_space_group_name_H-M 'I m m m'
_symmetry_Int_Tables_number 71
_symmetry_space_group_name_Hall '-I 2 2'
loop_
_atom_site_label
_atom_site_fract_x
_atom_site_fract_y
_atom_site_fract_z
Tm1 0.0000 0.0000 0.1317
Co1 0.0000 0.0000 0.5000
C1 0.0000 0.5000 0.5000
```


Here is crystalline TaSiTe2 at its relaxed geometry from the Alexandria database. Energies are from PBE.

Results
Uncorrected formation energy = 0.40 eV/atom

CIF file:
```
data_TaSiTe2
_chemical_formula_sum 'Ta2 Si2 Te4'
_cell_length_a 9.6056
_cell_length_b 3.4878
_cell_length_c 5.3555
_cell_angle_alpha 90.00
_cell_angle_beta 98.01
_cell_angle_gamma 90.00
_symmetry_space_group_name_H-M 'C 1 2/m 1'
_symmetry_Int_Tables_number 12
_symmetry_space_group_name_Hall '-C 2y'
loop_
_atom_site_label
_atom_site_fract_x
_atom_site_fract_y
_atom_site_fract_z
Ta1 0.0000 0.0000 0.0000
Si1 0.0000 0.5000 0.5000
Te1 0.2170 0.5000 0.2322
```


Here is crystalline AcInF2 at its relaxed geometry from the Alexandria database. Energies are from PBE.

Results
Uncorrected formation energy = -2.18 eV/atom

CIF file:
```
data_AcInF2
_chemical_formula_sum 'Ac3 In3 F6'
_cell_length_a 4.8346
_cell_length_b 4.8346
_cell_length_c 13.7231
_cell_angle_alpha 90.00
_cell_angle_beta 90.00
_cell_angle_gamma 120.00
_symmetry_space_group_name_H-M 'R -3 m'
_symmetry_Int_Tables_number 166
_symmetry_space_group_name_Hall '-R 3 2"'
loop_
_atom_site_label
_atom_site_fract_x
_atom_site_fract_y
_atom_site_fract_z
Ac1 0.0000 0.0000 0.0000
In1 0.0000 0.0000 0.5000
F1 0.0000 0.0000 0.1742
```


Here is crystalline Pm5Dy2YSc at its relaxed geometry from the Alexandria database. Energies are from PBE.

Results
Energy = -4.96 eV/atom

CIF file:
```
data_Pm5Dy2YSc
_chemical_formula_sum 'Pm20 Dy8 Y4 Sc4'
_cell_length_a 5.3597
_cell_length_b 21.8937
_cell_length_c 10.1799
_cell_angle_alpha 90.00
_cell_angle_beta 90.00
_cell_angle_gamma 90.00
_symmetry_space_group_name_H-M 'C m c m'
_symmetry_Int_Tables_number 63
_symmetry_space_group_name_Hall '-C 2c 2'
loop_
_atom_site_label
_atom_site_fract_x
_atom_site_fract_y
_atom_site_fract_z
Pm1 0.0000 0.0000 0.0000
Pm2 0.0000 0.1262 0.2500
Pm3 0.0000 0.2216 0.5620
Pm4 0.0000 0.4988 0.7500
Dy1 0.0000 0.3840 0.0007
Y1 0.0000 0.1017 0.7500
Sc1 0.0000 0.2855 0.2500
```


Here is crystalline RbLiHo2Cl8 at its relaxed geometry from the Alexandria database. Energies are from PBE.

Results
Uncorrected formation energy = -2.11 eV/atom

CIF file:
```
data_RbLiHo2Cl8
_chemical_formula_sum 'Rb1 Li1 Ho2 Cl8'
_cell_length_a 6.7087
_cell_length_b 8.2871
_cell_length_c 6.8371
_cell_angle_alpha 90.00
_cell_angle_beta 97.43
_cell_angle_gamma 90.00
_symmetry_space_group_name_H-M 'P 1 2/m 1'
_symmetry_Int_Tables_number 10
_symmetry_space_group_name_Hall '-P 2y'
loop_
_atom_site_label
_atom_site_fract_x
_atom_site_fract_y
_atom_site_fract_z
Rb1 0.0000 0.0000 0.0000
Li1 0.0000 0.5000 0.0000
Ho1 0.5000 0.2601 0.5000
Cl1 0.2304 0.2910 0.1950
Cl2 0.3057 0.5000 0.6584
Cl3 0.3165 0.0000 0.6446
```


Here is crystalline CaC2N2O2 at its relaxed geometry from the Alexandria database. Energies are from PBE.

Results
Uncorrected formation energy = -1.24 eV/atom

CIF file:
```
data_CaC2N2O2
_chemical_formula_sum 'Ca18 C36 N36 O36'
_cell_length_a 11.6029
_cell_length_b 11.6029
_cell_length_c 12.3318
_cell_angle_alpha 90.00
_cell_angle_beta 90.00
_cell_angle_gamma 120.00
_symmetry_space_group_name_H-M 'R 3 c'
_symmetry_Int_Tables_number 161
_symmetry_space_group_name_Hall 'R 3 -2"c'
loop_
_atom_site_label
_atom_site_fract_x
_atom_site_fract_y
_atom_site_fract_z
Ca1 0.0240 0.3400 0.0000
C1 0.0145 0.1213 0.5229
C2 0.0434 0.1303 0.7833
N1 0.1255 0.0152 0.0239
N2 0.1349 0.0454 0.2825
O1 0.0330 0.2416 0.5178
O2 0.0756 0.4991 0.4540
```


Here is crystalline InP2RuO at its relaxed geometry from the Alexandria database. Energies are from PBE.

Results
Distance to the lowest polymorph of the same formula = 0.000 eV per atom
Uncorrected formation energy = 0.04 eV/atom

CIF file:
```
data_InP2RuO
_chemical_formula_sum 'In1 P2 Ru1 O1'
_cell_length_a 4.8860
_cell_length_b 4.8860
_cell_length_c 3.7133
_cell_angle_alpha 90.00
_cell_angle_beta 90.00
_cell_angle_gamma 90.00
_symmetry_space_group_name_H-M 'P 4/m m m'
_symmetry_Int_Tables_number 123
_symmetry_space_group_name_Hall '-P 4 2'
loop_
_atom_site_label
_atom_site_fract_x
_atom_site_fract_y
_atom_site_fract_z
In1 0.0000 0.0000 0.0000
P1 0.0000 0.5000 0.5000
Ru1 0.5000 0.5000 0.5000
O1 0.5000 0.5000 0.0000
```


Here is crystalline Cs2KCl at its relaxed geometry from the Alexandria database. Energies are from PBE.

Results
Distance to the lowest polymorph of the same formula = 0.026 eV per atom
Uncorrected formation energy = -0.92 eV/atom

CIF file:
```
data_Cs2KCl
_chemical_formula_sum 'Cs6 K3 Cl3'
_cell_length_a 4.9400
_cell_length_b 4.9400
_cell_length_c 40.0290
_cell_angle_alpha 90.00
_cell_angle_beta 90.00
_cell_angle_gamma 120.00
_symmetry_space_group_name_H-M 'R -3 m'
_symmetry_Int_Tables_number 166
_symmetry_space_group_name_Hall '-R 3 2"'
loop_
_atom_site_label
_atom_site_fract_x
_atom_site_fract_y
_atom_site_fract_z
Cs1 0.0000 0.0000 0.1142
K1 0.0000 0.0000 0.0000
Cl1 0.0000 0.0000 0.5000
```


Here is crystalline Fe4NiIr3 at its relaxed geometry from the Alexandria database. Energies are from PBE.

Results
Energy = -8.30 eV/atom

CIF file:
```
data_Fe4NiIr3
_chemical_formula_sum 'Fe8 Ni2 Ir6'
_cell_length_a 3.7374
_cell_length_b 3.7374
_cell_length_c 14.5799
_cell_angle_alpha 90.00
_cell_angle_beta 90.00
_cell_angle_gamma 90.00
_symmetry_space_group_name_H-M 'I 4/m m m'
_symmetry_Int_Tables_number 139
_symmetry_space_group_name_Hall '-I 4 2'
loop_
_atom_site_label
_atom_site_fract_x
_atom_site_fract_y
_atom_site_fract_z
Fe1 0.0000 0.5000 0.1228
Ni1 0.0000 0.0000 0.0000
Ir1 0.0000 0.0000 0.2508
Ir2 0.0000 0.0000 0.5000
```


Here is crystalline Sm3Te3I at its relaxed geometry from the Alexandria database. Energies are from PBE.

Results
Uncorrected formation energy = -1.40 eV/atom

CIF file:
```
data_Sm3Te3I
_chemical_formula_sum 'Sm3 Te3 I1'
_cell_length_a 4.4318
_cell_length_b 4.4318
_cell_length_c 12.4008
_cell_angle_alpha 90.00
_cell_angle_beta 90.00
_cell_angle_gamma 90.00
_symmetry_space_group_name_H-M 'P 4/m m m'
_symmetry_Int_Tables_number 123
_symmetry_space_group_name_Hall '-P 4 2'
loop_
_atom_site_label
_atom_site_fract_x
_atom_site_fract_y
_atom_site_fract_z
Sm1 0.0000 0.0000 0.0000
Sm2 0.5000 0.5000 0.2516
Te1 0.0000 0.0000 0.2592
Te2 0.5000 0.5000 0.0000
I1 0.5000 0.5000 0.5000
```


Here is crystalline KLi2Ru6O12 at its relaxed geometry from the Alexandria database. Energies are from PBE.

Results
Uncorrected formation energy = -1.11 eV/atom

CIF file:
```
data_KLi2Ru6O12
_chemical_formula_sum 'K1 Li2 Ru6 O12'
_cell_length_a 9.6400
_cell_length_b 9.6400
_cell_length_c 2.7677
_cell_angle_alpha 90.00
_cell_angle_beta 90.00
_cell_angle_gamma 120.00
_symmetry_space_group_name_H-M 'P -6'
_symmetry_Int_Tables_number 174
_symmetry_space_group_name_Hall 'P -6'
loop_
_atom_site_label
_atom_site_fract_x
_atom_site_fract_y
_atom_site_fract_z
K1 0.0000 0.0000 0.0000
Li1 0.3333 0.6667 0.0000
Li2 0.6667 0.3333 0.5000
Ru1 0.0156 0.3588 0.0000
Ru2 0.3600 0.3450 0.5000
O1 0.1145 0.8051 0.0000
O2 0.1322 0.5425 0.5000
O3 0.2957 0.1084 0.5000
O4 0.5444 0.4108 0.0000
```